PBE Er2Sc2Tl, relaxed; ΔE_f = 0.1338 eV/atom; polymorph energy (0 for the lowest one) = 0.1395 eV per atom
1.0
4.2337 0.0000 0.0000
0.0000 8.1157 0.0000
0.0000 0.0000 8.1150
Er Sc Tl
4 4 2
Cartesian
0.0000 2.8496 6.9069 Er
0.0000 6.9075 5.2656 Er
0.0000 5.2661 1.2081 Er
0.0000 1.2082 2.8494 Er
2.1169 1.1890 5.2467 Sc
2.1169 5.2469 6.9257 Sc
2.1169 6.9267 2.8683 Sc
2.1169 2.8689 1.1892 Sc
0.0000 0.0000 0.0000 Tl
0.0000 4.0579 4.0575 Tl